[1]
16
Lattice="0.000 7.956 13.830 3.651 0.000 13.830 3.651 7.956 0.000" Properties=species:S:1:pos:R:3 comment="Cs2SnTe4Pb, relaxed, DFT PBE-GGA" magmom_total_mub_per_cell=0.0 space_group="Fddd (70)" volume_a3_per_cell=803 formation_energy_uncorrected_ev_per_atom=-0.59 dft_energy_ev_per_fu=-26.7 pbc="T T T"
Cs 2.738 5.967 1.639
Cs 4.563 9.945 8.554
Cs 2.738 5.967 19.106
Cs 4.563 9.945 26.021
Sn 2.738 5.967 10.373
Sn 4.563 9.945 17.288
Te 3.001 3.678 5.069
Te 4.300 7.656 11.984
Te 2.474 8.256 5.069
Te 2.474 3.678 15.676
Te 4.827 12.235 11.984
Te 4.827 7.656 22.591
Te 3.001 8.256 15.676
Te 4.300 12.235 22.591
Pb 0.913 1.989 3.458
Pb 6.388 13.923 24.203


[2]
12
Lattice="9.990 -2.256 0.000 9.990 2.256 0.000 -1.330 0.000 10.154" Properties=species:S:1:pos:R:3 comment="CsSn2Te6Pb3, relaxed, DFT PBE-GGA" magmom_total_mub_per_cell=0.0 space_group="C2/m (12)" volume_a3_per_cell=458 formation_energy_uncorrected_ev_per_atom=-0.39 dos_at_fermi_per_ev_atom=0.673 dft_energy_ev_per_fu=-43.5 pbc="T T T"
Cs 0.000 0.000 0.000
Sn 5.729 0.000 6.907
Sn 12.922 0.000 3.247
Te 2.529 0.000 5.915
Te 3.556 0.000 1.318
Te 8.694 0.000 7.250
Te 9.957 0.000 2.904
Te 15.094 0.000 8.835
Te 16.121 0.000 4.238
Pb -0.665 0.000 5.077
Pb 6.588 0.000 2.181
Pb 12.063 0.000 7.973


[3]
10
Lattice="5.114 0.000 0.000 0.000 5.114 0.000 0.000 0.000 14.753" Properties=species:S:1:pos:R:3 comment="Cs2Tl3SnPb4, relaxed, DFT PBE-GGA" magmom_total_mub_per_cell=0.0 space_group="P-4m2 (115)" volume_a3_per_cell=386 dos_at_fermi_per_ev_atom=0.510 dft_energy_ev_per_fu=-28.6 pbc="T T T"
Cs 0.000 2.557 3.616
Cs 2.557 0.000 11.137
Tl 0.000 0.000 0.000
Tl 0.000 2.557 9.438
Tl 2.557 0.000 5.316
Sn 2.557 2.557 0.000
Pb 0.000 0.000 7.377
Pb 0.000 2.557 12.874
Pb 2.557 0.000 1.879
Pb 2.557 2.557 7.377


[4]
10
Lattice="5.190 0.000 0.000 0.000 5.190 0.000 0.000 0.000 14.101" Properties=species:S:1:pos:R:3 comment="Cs2Tl4SnPb3, relaxed, DFT PBE-GGA" magmom_total_mub_per_cell=0.0 space_group="P-4m2 (115)" volume_a3_per_cell=380 dos_at_fermi_per_ev_atom=0.610 dft_energy_ev_per_fu=-27.0 pbc="T T T"
Cs 0.000 2.595 3.525
Cs 2.595 0.000 10.577
Tl 0.000 0.000 0.000
Tl 0.000 2.595 8.980
Tl 2.595 0.000 5.121
Tl 2.595 2.595 0.000
Sn 0.000 0.000 7.051
Pb 0.000 2.595 12.262
Pb 2.595 0.000 1.839
Pb 2.595 2.595 7.051


[5]
5
Lattice="6.372 0.000 0.000 0.000 6.372 0.000 0.000 0.000 6.329" Properties=species:S:1:pos:R:3 comment="CsTlSnPb2, relaxed, DFT PBE-GGA" magmom_total_mub_per_cell=0.0 space_group="P4/mmm (123)" volume_a3_per_cell=257 dos_at_fermi_per_ev_atom=0.875 dft_energy_ev_per_fu=-9.2 de_polymorph_mev_per_atom=1191.6 pbc="T T T"
Cs 0.000 0.000 0.000
Tl 3.186 3.186 3.164
Sn 0.000 0.000 3.164
Pb 0.000 3.186 0.000
Pb 3.186 0.000 0.000


[6]
5
Lattice="-2.303 2.699 7.536 2.303 -2.699 7.536 2.303 2.699 -7.536" Properties=species:S:1:pos:R:3 comment="CsTlSn2Pb, relaxed, DFT PBE-GGA" magmom_total_mub_per_cell=0.0 space_group="Imm2 (44)" volume_a3_per_cell=187 dos_at_fermi_per_ev_atom=0.463 dft_energy_ev_per_fu=-15.5 pbc="T T T"
Cs 0.000 0.000 0.000
Tl 0.000 0.000 5.793
Sn 0.000 0.000 9.403
Sn 0.000 2.699 3.841
Pb 2.303 0.000 3.495


[7]
5
Lattice="-2.635 2.635 6.928 2.635 -2.635 6.928 2.635 2.635 -6.928" Properties=species:S:1:pos:R:3 comment="CsTlSnPb2, relaxed, DFT PBE-GGA" magmom_total_mub_per_cell=0.0 space_group="I-4m2 (119)" volume_a3_per_cell=192 dos_at_fermi_per_ev_atom=0.383 dft_energy_ev_per_fu=-15.1 de_polymorph_mev_per_atom=0.0 pbc="T T T"
Cs 0.000 0.000 0.000
Tl 0.000 2.635 3.464
Sn 2.635 0.000 3.464
Pb 0.000 0.000 5.245
Pb 0.000 0.000 8.611


[8]
9
Lattice="5.545 0.000 0.000 0.000 5.545 0.000 0.000 0.000 12.858" Properties=species:S:1:pos:R:3 comment="CsTl5SnPb2, relaxed, DFT PBE-GGA" magmom_total_mub_per_cell=0.0 space_group="P4/mmm (123)" volume_a3_per_cell=395 dos_at_fermi_per_ev_atom=0.682 dft_energy_ev_per_fu=-22.7 pbc="T T T"
Cs 0.000 0.000 0.000
Tl 0.000 2.773 4.686
Tl 0.000 2.773 8.172
Tl 2.773 0.000 4.686
Tl 2.773 0.000 8.172
Tl 2.773 2.773 0.000
Sn 2.773 2.773 6.429
Pb 2.773 2.773 2.976
Pb 2.773 2.773 9.882


What did the third record say?
10
Lattice="5.114 0.000 0.000 0.000 5.114 0.000 0.000 0.000 14.753" Properties=species:S:1:pos:R:3 comment="Cs2Tl3SnPb4, relaxed, DFT PBE-GGA" magmom_total_mub_per_cell=0.0 space_group="P-4m2 (115)" volume_a3_per_cell=386 dos_at_fermi_per_ev_atom=0.510 dft_energy_ev_per_fu=-28.6 pbc="T T T"
Cs 0.000 2.557 3.616
Cs 2.557 0.000 11.137
Tl 0.000 0.000 0.000
Tl 0.000 2.557 9.438
Tl 2.557 0.000 5.316
Sn 2.557 2.557 0.000
Pb 0.000 0.000 7.377
Pb 0.000 2.557 12.874
Pb 2.557 0.000 1.879
Pb 2.557 2.557 7.377


Copy entry 3 word for word.
10
Lattice="5.114 0.000 0.000 0.000 5.114 0.000 0.000 0.000 14.753" Properties=species:S:1:pos:R:3 comment="Cs2Tl3SnPb4, relaxed, DFT PBE-GGA" magmom_total_mub_per_cell=0.0 space_group="P-4m2 (115)" volume_a3_per_cell=386 dos_at_fermi_per_ev_atom=0.510 dft_energy_ev_per_fu=-28.6 pbc="T T T"
Cs 0.000 2.557 3.616
Cs 2.557 0.000 11.137
Tl 0.000 0.000 0.000
Tl 0.000 2.557 9.438
Tl 2.557 0.000 5.316
Sn 2.557 2.557 0.000
Pb 0.000 0.000 7.377
Pb 0.000 2.557 12.874
Pb 2.557 0.000 1.879
Pb 2.557 2.557 7.377